Record 1
VASP calculation (GGA-PBE) on ScReAg2 after structural relaxation.

Cell and atoms, written as POSCAR:
```
ScReAg2
1.0
2.8144 0.0251 0.0000
-0.7875 2.7021 0.0000
0.0000 0.0000 9.2273
Ag Re Sc
2 1 1
Direct
0.0000 0.0000 0.0010
0.5000 0.5000 0.2562
0.0000 0.0000 0.5057
0.5000 0.5000 0.7370
```

Computed properties:
- Space group: Cmm2, No. 35
- DFT total energy: -5.92 eV per atom
- Crystal system: orthorhombic

=====

Record 2
VASP calculation (GGA-PBE) on PrPu4Te6 after structural relaxation.

Cell and atoms, written as POSCAR:
```
PrPu4Te6
1.0
-0.0807 -3.2706 2.9276
6.8636 -0.2060 -3.3327
8.1220 13.9979 15.8619
Pr Pu Te
2 8 12
Direct
0.6559 0.3117 0.2500
0.3441 0.6883 0.7500
0.8598 0.7196 0.5398
0.4111 0.8222 0.1278
0.1402 0.2804 0.4602
0.5889 0.1778 0.8722
0.8598 0.7196 0.9602
0.1402 0.2804 0.0398
0.5889 0.1778 0.6278
0.4111 0.8222 0.3722
0.5000 0.0000 0.0000
0.5000 0.0000 0.5000
0.0514 0.1027 0.3339
0.9486 0.8973 0.6661
0.9486 0.8973 0.8339
0.0514 0.1027 0.1661
0.7718 0.5437 0.4116
0.2282 0.4563 0.5884
0.2282 0.4563 0.9116
0.7718 0.5437 0.0884
0.3145 0.6290 0.2500
0.6855 0.3710 0.7500
```

Computed properties:
- Space group: Cmcm, No. 63
- Energy relative to the elements, uncorrected: -1.15 eV per atom
- Crystal system: orthorhombic

=====

Record 3
VASP calculation (GGA-PBE) on Sm2SeCl2 after structural relaxation.

Cell and atoms, written as POSCAR:
```
Sm2SeCl2
1.0
-1.7601 1.8474 -3.2148
-1.6375 -3.4446 1.5371
-5.6026 5.5204 6.2398
Sm Se Cl
2 1 2
Direct
0.8313 0.6626 0.3400
0.1687 0.3375 0.6600
0.5000 0.0000 0.5000
0.1628 0.3256 0.1771
0.8372 0.6744 0.8229
```

Computed properties:
- Space group: C2/m, No. 12
- Energy relative to the elements, uncorrected: -1.94 eV per atom
- Crystal system: monoclinic

=====

Record 4
VASP calculation (GGA-PBE) on LaCe3Nd2As6 after structural relaxation.

Cell and atoms, written as POSCAR:
```
LaCe3Nd2As6
1.0
7.3810 -0.0011 0.0002
-3.6897 6.3926 0.0002
-1.2311 -2.1317 6.9617
La Ce Nd As
1 3 2 6
Direct
0.0000 0.0000 0.0000
0.1662 0.8338 0.5000
0.8338 0.1662 0.5000
0.5000 0.5000 0.5000
0.3332 0.6668 0.0000
0.6668 0.3332 0.0000
0.9140 0.5783 0.7422
0.7500 0.7500 0.2573
0.0860 0.4217 0.2578
0.5783 0.9140 0.7422
0.2500 0.2500 0.7427
0.4217 0.0860 0.2578
```

Computed properties:
- Space group: C2/m, No. 12
- DFT total energy: -6.50 eV per atom
- Crystal system: monoclinic

=====

Number 1: calculated volume 70 Å³/cell, density 10.5 g cm⁻³. Number 2: calculated volume 727 Å³/cell, density 8.6 g cm⁻³. Number 3: calculated volume 147 Å³/cell, density 5.1 g cm⁻³. Number 4: calculated volume 328 Å³/cell, density 6.6 g cm⁻³.